# La2NiAu

La2NiAu at its PBEsol-relaxed geometry (SCAN, Alexandria).

Cell lengths 4.0743, 4.0743, 21.5578 Å; angles 90.00, 90.00, 120.00 degrees
Space group R-3m (No. 166, hexagonal axes)
Unique sites:
1 La 0.0000 0.0000 0.2417 x6
2 Ni 0.0000 0.0000 0.5000 x3
3 Au 0.0000 0.0000 0.0000 x3

Calculated values
calculated density: 8.6 g/cm3
raw total energy: -43.459 eV per atom
formation energy: -574 meV/atom
size of the total moment: 0.0 μB/f.u.
calculated volume: 25.826 Å³/atom

=====

# BaFe2Ir

BaFe2Ir at its PBEsol-relaxed geometry (SCAN, Alexandria).

Cell lengths 4.1914, 4.1914, 16.7470 Å; angles 90.00, 90.00, 120.00 degrees
Space group R-3m (No. 166, hexagonal axes)
Unique sites:
1 Ba 0.0000 0.0000 0.0000 x3
2 Fe 0.0000 0.0000 0.1856 x6
3 Ir 0.0000 0.0000 0.5000 x3

Calculated values
calculated density: 8.6 g/cm3
raw total energy: -36.659 eV per atom
formation energy: 68 meV/atom
size of the total moment: 4.9 μB/f.u.
calculated volume: 21.232 Å³/atom

=====

# Mn2BeCu

Mn2BeCu at its PBEsol-relaxed geometry (SCAN, Alexandria).

Cell lengths 2.899, 3.593, 7.671 Å; angles 90.00, 90.00, 90.00 degrees
Space group Cmmm (No. 65)
Unique sites:
1 Mn 0.000 0.000 0.232 x4
2 Be 0.000 0.500 0.000 x2
3 Cu 0.000 0.500 0.500 x2

Calculated values
calculated density: 7.6 g/cm3
raw total energy: -13.817 eV per atom
formation energy: 198 meV/atom
size of the total moment: 0.0 μB/f.u.
calculated volume: 9.986 Å³/atom

=====

# LiEr4Ge4

LiEr4Ge4 at its PBEsol-relaxed geometry (SCAN, Alexandria).

Cell lengths 6.990, 14.352, 7.553 Å; angles 90.00, 90.00, 90.00 degrees
Space group Pnma (No. 62)
Unique sites:
1 Li 0.160 0.250 0.024 x4
2 Er 0.014 0.597 0.686 x8
3 Er 0.172 0.628 0.175 x8
4 Ge 0.016 0.250 0.585 x4
5 Ge 0.168 0.037 0.966 x8
6 Ge 0.216 0.750 0.861 x4

Calculated values
calculated density: 8.5 g/cm3
raw total energy: -32.016 eV per atom
formation energy: -893 meV/atom
size of the total moment: 0.0 μB/f.u.
calculated volume: 21.046 Å³/atom